Computed, not measured: LaNbNO2 after structural relaxation at the PBE-GGA level of DFT.

Calculated density (g/cm³): 5.26
Formation energy from raw total energies (eV per atom): -0.078
Final energy (eV per formula unit): -33.63
Total moment (μB/cell): 1.997

a b c (Å): 4.4855 4.4855 4.3565
angles (deg): 90.00 90.00 90.00
Space group P4/mmm (No. 123)
Asymmetric unit:
1 La 0.0000 0.0000 0.0000
2 Nb 0.5000 0.5000 0.5000
3 N 0.0000 0.0000 0.5000
4 O 0.0000 0.5000 0.0000